VASP calculation (GGA-PBE) on ErIn9Pd2 after structural relaxation.

Unit cell a=9.711 b=9.711 c=9.711 alpha=97.53 beta=97.53 gamma=137.57
Sites, in units of the cell vectors:
1 Er 0.375 0.625 0.750
2 Er 0.625 0.375 0.250
3 In 0.086 0.540 0.305
4 In 0.086 0.782 0.546
5 In 0.125 0.875 0.250
6 In 0.218 0.265 0.305
7 In 0.218 0.914 0.954
8 In 0.265 0.218 0.805
9 In 0.265 0.460 0.046
10 In 0.460 0.265 0.546
11 In 0.460 0.914 0.195
12 In 0.540 0.086 0.805
13 In 0.540 0.735 0.454
14 In 0.735 0.540 0.954
15 In 0.735 0.782 0.195
16 In 0.782 0.086 0.046
17 In 0.782 0.735 0.695
18 In 0.875 0.125 0.750
19 In 0.914 0.218 0.454
20 In 0.914 0.460 0.695
21 Pd 0.000 0.000 0.000
22 Pd 0.000 0.000 0.500
23 Pd 0.000 0.500 0.000
24 Pd 0.500 0.000 0.500

Calculated values
The formation energy comes out at -0.15 eV per atom. The space group is I4_1/amd, No. 141.

VASP calculation (GGA-PBE) on Li5P3 after structural relaxation.

Unit cell a=7.577 b=7.577 c=4.799 alpha=90.00 beta=90.00 gamma=120.00
Sites, in units of the cell vectors:
1 Li 0.000 0.260 0.250
2 Li 0.000 0.740 0.750
3 Li 0.260 0.000 0.250
4 Li 0.260 0.260 0.750
5 Li 0.333 0.667 0.000
6 Li 0.333 0.667 0.500
7 Li 0.667 0.333 0.000
8 Li 0.667 0.333 0.500
9 Li 0.740 0.000 0.750
10 Li 0.740 0.740 0.250
11 P 0.000 0.418 0.750
12 P 0.000 0.582 0.250
13 P 0.418 0.000 0.750
14 P 0.418 0.418 0.250
15 P 0.582 0.000 0.250
16 P 0.582 0.582 0.750

Calculated values
The formation energy comes out at -0.41 eV per atom. The space group is P6_3/mcm, No. 193.

VASP calculation (GGA-PBE) on Al3FeAs after structural relaxation.

Unit cell a=4.530 b=4.530 c=4.530 alpha=90.00 beta=90.00 gamma=90.00
Sites, in units of the cell vectors:
1 Al 0.000 0.000 0.500
2 Al 0.000 0.500 0.000
3 Al 0.500 0.000 0.000
4 Fe 0.000 0.000 0.000
5 As 0.500 0.500 0.500

Calculated values
The formation energy comes out at 0.29 eV per atom. The space group is Pm-3m, No. 221.

VASP calculation (GGA-PBE) on CsNiSb after structural relaxation.

Unit cell a=4.486 b=4.486 c=11.672 alpha=90.00 beta=90.00 gamma=90.00
Sites, in units of the cell vectors:
1 Cs 0.250 0.250 0.220
2 Cs 0.750 0.750 0.780
3 Ni 0.250 0.750 0.500
4 Ni 0.750 0.250 0.500
5 Sb 0.250 0.250 0.600
6 Sb 0.750 0.750 0.400

Calculated values
The space group is P4/nmm, No. 129.

Calculated values (eV/atom) of E_tot for the records, taken in order: -3.4544, -3.6337, -4.5781, -3.8208.